Material: SrGa2W
Method: DFT, PBE
State: optimized geometry

Values from the calculation:
N(E_F)	3.15	states/eV/f.u.
total magnetic moment	1.91	μB/cell
energy relative to the lowest polymorph listed for this composition	0.0000	eV/atom
DFT total energy	-4.684	eV/atom

```
SrGa2W
1.0
0.1585 -4.6033 1.6040
2.2474 -1.0425 4.2012
-2.6132 -1.3138 3.9030
Sr Ga W
1 2 1
direct
0.0000 0.0000 0.0000 Sr
0.7500 0.7500 0.7500 Ga
0.2500 0.2500 0.2500 Ga
0.5000 0.5000 0.5000 W
```